A crystal of Al2AgRh relaxed with PBEsol, computed with meta-GGA SCAN.

a b c (Å): 2.9765 2.9765 6.5368
angles (deg): 90.00 90.00 90.00
Last column: nearest neighbours and their distance in Å.
Space group P4/mmm (No. 123)
Asymmetric unit:
Al (0.0000, 0.0000, 0.2263) [2 per cell]  4 Rh 2.57, 4 Ag 2.76
Ag (0.5000, 0.5000, 0.5000) [1 per cell]  8 Al 2.76, 4 Ag 2.98
Rh (0.5000, 0.5000, 0.0000) [1 per cell]  8 Al 2.57

Values from the calculation:
**Crystal system**: tetragonal
**Total DFT energy (no corrections)**: -20.87 eV per atom
**ΔH_f (0 K)**: -0.707 eV/atom
**DOS(E_F)**: 0.332 states/eV per atom